(1)
# Li2Ta2MnSe6

An optimized crystal structure of Li2Ta2MnSe6 (PBE, Alexandria via LeMat-Bulk).

Lattice parameters (Å, degrees): 6.395 6.395 6.812 97.34 97.34 120.24
Last column: magnetic moment on the atom in μB.
Element x y z (fractional)
Li 0.817 0.183 0.000  0.01
Li 0.183 0.817 0.000  0.01
Ta 0.364 0.636 0.500  -0.04
Ta 0.636 0.364 0.500  -0.04
Mn 0.000 0.000 0.500  4.02
Se 0.747 0.747 0.763  0.00
Se 0.055 0.405 0.721  0.02
Se 0.253 0.253 0.237  0.00
Se 0.405 0.055 0.721  0.02
Se 0.945 0.595 0.279  0.02
Se 0.595 0.945 0.279  0.02

Values from the calculation:
**E_form (uncorrected)**: -0.79 eV/atom
**Raw total energy**: -6.032 eV per atom
**Crystal system**: monoclinic
**Size of the total moment**: 0.3952 μB per atom

(2)
# Sb4Mo

An optimized crystal structure of Sb4Mo (PBE, Alexandria via LeMat-Bulk).

Lattice parameters (Å, degrees): 6.197 6.197 6.461 90.00 90.00 90.00
Element x y z (fractional)
Sb 0.194 0.193 0.367
Sb 0.806 0.807 0.367
Sb 0.193 0.806 0.633
Sb 0.807 0.194 0.633
Sb 0.306 0.693 0.133
Sb 0.694 0.307 0.133
Sb 0.307 0.306 0.867
Sb 0.693 0.694 0.867
Mo 0.000 0.000 0.000
Mo 0.500 0.500 0.500

Values from the calculation:
**E_form (uncorrected)**: 0.09 eV/atom
**Polymorph energy (0 for the lowest one)**: 0 meV per atom
**Raw total energy**: -5.371 eV per atom
**Crystal system**: tetragonal
**Size of the total moment**: 0.0000 μB per atom

(3)
# LaAlBr2

An optimized crystal structure of LaAlBr2 (PBE, Alexandria via LeMat-Bulk).

Lattice parameters (Å, degrees): 5.343 5.343 5.343 60.00 60.00 60.00
Last column: magnetic moment on the atom in μB.
Element x y z (fractional)
Al 0.000 0.000 0.000  0.08
Br 0.250 0.250 0.250  0.03
Br 0.750 0.750 0.750  0.03
La 0.500 0.500 0.500  0.44

Values from the calculation:
**E_form (uncorrected)**: -0.71 eV/atom
**Polymorph energy (0 for the lowest one)**: 204 meV per atom
**Raw total energy**: -3.710 eV per atom
**Crystal system**: cubic
**Size of the total moment**: 0.3675 μB per atom

(4)
# AcSm2Pt

An optimized crystal structure of AcSm2Pt (PBE, Alexandria via LeMat-Bulk).

Lattice parameters (Å, degrees): 3.680 3.680 9.164 90.00 90.00 90.00
Element x y z (fractional)
Ac 0.500 0.500 0.500
Sm 0.000 0.000 0.821
Sm 0.000 0.000 0.179
Pt 0.500 0.500 0.000

Values from the calculation:
**Polymorph energy (0 for the lowest one)**: 104 meV per atom
**Raw total energy**: -5.422 eV per atom
**Crystal system**: tetragonal
**ΔE_f**: -50.70 kJ/mol of atoms
**Size of the total moment**: 0.0000 μB per atom

(5)
# CsSnRh3

An optimized crystal structure of CsSnRh3 (PBE, Alexandria via LeMat-Bulk).

Lattice parameters (Å, degrees): 4.985 4.985 4.985 90.00 90.00 90.00
Element x y z (fractional)
Cs 0.000 0.000 0.000
Rh 0.000 0.500 0.000
Rh 0.000 0.000 0.500
Rh 0.500 0.000 0.000
Sn 0.500 0.500 0.500

Values from the calculation:
**Polymorph energy (0 for the lowest one)**: 991 meV per atom
**Raw total energy**: -3.589 eV per atom
**Crystal system**: cubic
**ΔE_f**: 172.97 kJ/mol of atoms
**Size of the total moment**: 0.0000 μB per atom

(6)
# CeSm2Pu3S6

An optimized crystal structure of CeSm2Pu3S6 (PBE, Alexandria via LeMat-Bulk).

Lattice parameters (Å, degrees): 3.977 7.987 8.905 102.93 102.90 90.00
Last column: magnetic moment on the atom in μB.
Element x y z (fractional)
Ce 0.500 0.000 0.000  0.79
Sm 0.833 0.666 0.666  0.02
Sm 0.167 0.334 0.334  0.02
Pu 0.500 0.500 0.000  5.30
Pu 0.834 0.166 0.668  5.32
Pu 0.166 0.834 0.332  5.32
S 0.331 0.919 0.663  -0.07
S 0.665 0.587 0.331  -0.06
S 0.669 0.081 0.337  -0.07
S 0.999 0.255 0.998  -0.07
S 0.001 0.745 0.002  -0.07
S 0.335 0.413 0.669  -0.06

Values from the calculation:
**E_form (uncorrected)**: -1.92 eV/atom
**Raw total energy**: -8.845 eV per atom
**Crystal system**: monoclinic
**Size of the total moment**: 1.4747 μB per atom

(7)
# LaPr2SmGe2

An optimized crystal structure of LaPr2SmGe2 (PBE, Alexandria via LeMat-Bulk).

Lattice parameters (Å, degrees): 4.520 8.104 9.456 90.00 90.00 90.00
Element x y z (fractional)
La 0.000 0.978 0.419
La 0.000 0.478 0.581
Pr 0.500 0.036 0.084
Pr 0.000 0.370 0.165
Pr 0.500 0.536 0.916
Pr 0.000 0.870 0.835
Sm 0.500 0.144 0.671
Sm 0.500 0.644 0.329
Ge 0.000 0.258 0.861
Ge 0.500 0.260 0.370
Ge 0.000 0.758 0.139
Ge 0.500 0.760 0.630

Values from the calculation:
**Raw total energy**: -5.331 eV per atom
**Crystal system**: orthorhombic
**ΔE_f**: -56.97 kJ/mol of atoms
**Size of the total moment**: 0.0001 μB per atom

(8)
# NbRu3Se

An optimized crystal structure of NbRu3Se (PBE, Alexandria via LeMat-Bulk).

Lattice parameters (Å, degrees): 4.479 4.479 4.479 90.00 90.00 90.00
Element x y z (fractional)
Ru 0.000 0.500 0.000
Ru 0.000 0.000 0.500
Ru 0.500 0.000 0.000
Nb 0.500 0.500 0.500
Se 0.000 0.000 0.000

Values from the calculation:
**E_form (uncorrected)**: 0.97 eV/atom
**Polymorph energy (0 for the lowest one)**: 0 meV per atom
**Raw total energy**: -7.311 eV per atom
**Crystal system**: cubic
**Size of the total moment**: 0.0000 μB per atom